A relaxed CsNiB crystal, computed with PBE.

Cell lengths 8.0513, 8.0513, 8.0513 Å; angles 90.00, 90.00, 90.00 degrees
With the nearest neighbours (Å) after each atom.
Space group F-43m (No. 216)
Inequivalent atoms, fractional coordinates:
Cs1 0.0000 0.0000 0.0000  4 Ni 3.49
Ni1 0.2500 0.2500 0.7500  4 Cs 3.49, 4 B 3.49
B1 0.0000 0.0000 0.5000  4 Ni 3.49

Summary:
E: -2.081 eV/atom
V: 130 Å³/f.u.



A relaxed Ba2Sr2Zn crystal, computed with PBE.

Cell lengths 4.1673, 4.1673, 26.0010 Å; angles 90.00, 90.00, 90.00 degrees
With the nearest neighbours (Å) after each atom.
Space group I4/mmm (No. 139)
Inequivalent atoms, fractional coordinates:
Ba1 0.0000 0.0000 0.1878  8 Ba 4.17-4.38, 4 Sr 4.27
Sr1 0.0000 0.0000 0.4313  4 Zn 3.45, 1 Sr 3.57
Zn1 0.0000 0.0000 0.0000  8 Sr 3.45

Summary:
E: -1.729 eV/atom
V: 226 Å³/f.u.



A relaxed TcSnPt2 crystal, computed with PBE.

Cell lengths 6.4434, 6.4434, 6.4434 Å; angles 90.00, 90.00, 90.00 degrees
With the nearest neighbours (Å) after each atom.
Space group F-43m (No. 216)
Inequivalent atoms, fractional coordinates:
Tc1 0.0000 0.0000 0.0000  4 Pt 2.79, 4 Sn 2.79
Sn1 0.2500 0.2500 0.7500  4 Tc 2.79, 4 Pt 2.79
Pt1 0.0000 0.0000 0.5000  4 Sn 2.79, 4 Pt 2.79
Pt2 0.2500 0.2500 0.2500  4 Tc 2.79, 4 Pt 2.79

Summary:
E: -6.608 eV/atom
V: 67 Å³/f.u.



A relaxed BePt5O3 crystal, computed with PBE.

Cell lengths 3.6866, 6.2608, 5.1276 Å; angles 90.00, 90.48, 90.00 degrees
With the nearest neighbours (Å) after each atom.
Space group P2 (No. 3)
Inequivalent atoms, fractional coordinates:
Be1 0.0000 0.0000 0.0000  2 O 1.91
Pt1 0.0000 0.0318 0.5000  2 O 2.11
Pt2 0.2601 0.3604 0.1780  2 O 2.13-2.15
Pt3 0.2886 0.7084 0.7411  2 O 2.02-2.04
O1 0.0000 0.5164 0.5000  4 Pt 2.02-2.15
O2 0.5000 0.1962 0.5000  4 Pt 2.11-2.13
O3 0.5000 0.9223 0.0000  2 Be 1.91, 2 Pt 2.04

Summary:
E: -5.495 eV/atom
V: 118 Å³/f.u.



A relaxed GdErNO crystal, computed with PBE.

Cell lengths 4.8508, 4.8508, 4.8045 Å; angles 90.00, 90.00, 90.00 degrees
With the nearest neighbours (Å) after each atom.
Space group P4/nmm (No. 129, origin choice 2)
Inequivalent atoms, fractional coordinates:
Gd1 0.2500 0.7500 0.0000  2 O 2.40, 4 N 2.43
Er1 0.2500 0.2500 0.4994  2 N 2.40-2.41, 4 O 2.43
N1 0.2500 0.2500 0.0002  2 Er 2.40-2.41, 4 Gd 2.43
O1 0.2500 0.7500 0.5000  2 Gd 2.40, 4 Er 2.43

Summary:
E: -7.925 eV/atom
V: 57 Å³/f.u.



A relaxed FeNiP crystal, computed with PBE.

Cell lengths 6.7427, 6.7427, 2.6643 Å; angles 90.00, 90.00, 120.00 degrees
With the nearest neighbours (Å) after each atom.
Space group P-62m (No. 189)
Inequivalent atoms, fractional coordinates:
Fe1 0.0000 0.6663 0.0000  3 Ni 2.25, 3 P 2.25
Ni1 0.0000 0.3324 0.0000  3 P 2.24-2.25, 3 Fe 2.25
P1 0.0000 0.0000 0.0000  3 Ni 2.24, 3 Fe 2.25
P2 0.3333 0.6667 0.0000  3 Fe 2.25, 3 Ni 2.25

Summary:
E: -6.146 eV/atom
V: 35 Å³/f.u.